Material: Y3RuRh2
Method: DFT, PBE
State: optimized geometry

```
Y3RuRh2
1.0
2.4278 -7.2819 0.0000
2.4278 7.2819 0.0000
0.0000 0.0000 6.8296
Y Ru Rh
6 2 4
Cartesian
0.0000 0.0000 1.6949
0.0000 0.0000 5.1346
2.4278 2.4408 1.6907
2.4278 2.4408 5.1389
2.4278 -2.4408 1.6907
2.4278 -2.4408 5.1389
2.4278 4.8592 0.0000
2.4278 -4.8592 0.0000
2.4278 4.8646 3.4148
2.4278 0.0000 0.0000
2.4278 0.0000 3.4148
2.4278 -4.8646 3.4148
```

Summary:
Formation energy in meV per atom: -682
E_tot in eV per atom: -7.91